A geometry-optimized ZrV3O structure. Source: Alexandria via LeMat-Bulk, functional PBE+U.

Unit cell a=4.9411 b=4.9411 c=4.9411 alpha=90.00 beta=90.00 gamma=90.00
With the nearest neighbours (Å) after each atom.
Positions (direct):
Zr 0.0000 0.0000 0.0000  6 V 2.47
V 0.0000 0.0000 0.5000  2 Zr 2.47
V 0.0000 0.5000 0.0000  2 Zr 2.47
V 0.5000 0.0000 0.0000  2 Zr 2.47
O 0.5000 0.5000 0.5000  12 V 3.49

Space-group type: Pm-3m, No. 221
Energy (eV/atom): -4.680
DOS(E_F) (states/eV/cell): 6.9